This record from the Alexandria database describes a relaxed Tm2LuN crystal. The functional is PBE.

Calculated values
Its space-group type is No. 166. The raw formation energy is -3.3 eV per formula unit. Its crystal system is trigonal.

Unit cell a=8.977 b=8.977 c=8.977 alpha=21.91 beta=21.91 gamma=21.91
Positions (direct):
Tm: 0.218 0.218 0.218
Tm: 0.782 0.782 0.782
Lu: 0.000 0.000 0.000
N: 0.500 0.500 0.500

---

This record from the Alexandria database describes a relaxed AcLaCeBi crystal. The functional is PBE.

Calculated values
Its space-group type is No. 216. Its crystal system is cubic. As for the calculated formation energy: -4.1 kcal/mol of atoms.

Unit cell a=5.757 b=5.757 c=5.757 alpha=60.00 beta=60.00 gamma=60.00
Positions (direct):
Ac: 0.000 0.000 0.000
La: 0.250 0.250 0.250
Ce: 0.750 0.750 0.750
Bi: 0.500 0.500 0.500

---

This record from the Alexandria database describes a relaxed Ta2CrIn crystal. The functional is PBE.

Calculated values
Its space-group type is No. 99. Its crystal system is tetragonal. As for the calculated formation energy: 4.3 kcal/mol of atoms.

Unit cell a=3.272 b=3.272 c=6.609 alpha=90.00 beta=90.00 gamma=90.00
Positions (direct):
Ta: 0.000 0.000 0.000
Ta: 0.500 0.500 0.247
Cr: 0.000 0.000 0.453
In: 0.500 0.500 0.710

---

This record from the Alexandria database describes a relaxed NdAs2Pb crystal. The functional is PBE.

Calculated values
Its space-group type is No. 166. Its crystal system is trigonal. As for the calculated formation energy: -4.5 kcal/mol of atoms. Its energy above the most stable polymorph in this dataset is 357 meV/atom.

Unit cell a=8.517 b=8.517 c=8.517 alpha=31.17 beta=31.17 gamma=31.17
Positions (direct):
Nd: 0.000 0.000 0.000
As: 0.390 0.390 0.390
As: 0.610 0.610 0.610
Pb: 0.500 0.500 0.500

---

In states/eV per cell, the N(E_F) values for the records above are, in order, 4.34 9.85 3.19 3.42.
In eV per atom, the raw total energy values for the records above are, in order, -6.261 -4.889 -8.831 -4.638.